# Pr2MgCu2Pd5

A relaxed structure of Pr2MgCu2Pd5 (PBE-GGA, the Alexandria database).

abc: 9.6386 9.6386 3.9475
angles: 90.00 90.00 90.00
With the nearest neighbours (Å) after each atom.
Atoms (fractional coordinates):
Pr 0.1773 0.3227 0.0000  3 Cu 2.77-2.91
Pr 0.3227 0.8227 0.0000  3 Cu 2.77-2.91
Pr 0.6773 0.1773 0.0000  3 Cu 2.77-2.91
Pr 0.8227 0.6773 0.0000  3 Cu 2.77-2.91
Mg 0.0000 0.0000 0.0000  8 Pd 2.88
Mg 0.5000 0.5000 0.0000  8 Pd 2.88
Cu 0.1195 0.6195 0.0000  6 Pd 2.56-2.64, 1 Pr 2.77
Cu 0.3805 0.1195 0.0000  6 Pd 2.56-2.64, 1 Pr 2.77
Cu 0.6195 0.8805 0.0000  6 Pd 2.56-2.64, 1 Pr 2.77
Cu 0.8805 0.3805 0.0000  6 Pd 2.56-2.64, 1 Pr 2.77
Pd 0.0000 0.5000 0.5000  4 Cu 2.56
Pd 0.0675 0.7932 0.5000  2 Cu 2.64, 2 Mg 2.88, 1 Pd 2.90
Pd 0.2068 0.0675 0.5000  2 Cu 2.64, 2 Mg 2.88, 1 Pd 2.90
Pd 0.2932 0.5675 0.5000  2 Cu 2.64, 2 Mg 2.88, 1 Pd 2.90
Pd 0.4325 0.2932 0.5000  2 Cu 2.64, 2 Mg 2.88, 1 Pd 2.90
Pd 0.5000 0.0000 0.5000  4 Cu 2.56
Pd 0.5675 0.7068 0.5000  2 Cu 2.64, 2 Mg 2.88, 1 Pd 2.90
Pd 0.7068 0.4325 0.5000  2 Cu 2.64, 2 Mg 2.88, 1 Pd 2.90
Pd 0.7932 0.9325 0.5000  2 Cu 2.64, 2 Mg 2.88, 1 Pd 2.90
Pd 0.9325 0.2068 0.5000  2 Cu 2.64, 2 Mg 2.88, 1 Pd 2.90

Output
Energy (eV/f.u.): -51.266
Calculated volume (Å³ per atom): 18.3
SG: P4/mbm, No. 127
Total magnetic moment (μB/cell): 0.00
ΔH_f (0 K) (eV per atom): -0.596

***

# MgCuPdPt

A relaxed structure of MgCuPdPt (PBE-GGA, the Alexandria database).

abc: 4.3675 4.3675 4.3675
angles: 60.00 60.00 60.00
With the nearest neighbours (Å) after each atom.
Atoms (fractional coordinates):
Mg 0.0000 0.0000 0.0000  4 Pd 2.67, 4 Pt 2.67
Cu 0.5000 0.5000 0.5000  4 Pd 2.67, 4 Pt 2.67
Pd 0.7500 0.7500 0.7500  4 Mg 2.67, 4 Cu 2.67
Pt 0.2500 0.2500 0.2500  4 Mg 2.67, 4 Cu 2.67

Output
Energy relative to the lowest polymorph listed for this composition (meV/atom): 8
Energy (eV/f.u.): -18.961
Calculated volume (Å³ per atom): 14.7
SG: F-43m, No. 216
Total magnetic moment (μB/cell): 0.00
ΔH_f (0 K) (eV per atom): -0.509

***

# MgCuPdPt

A relaxed structure of MgCuPdPt (PBE-GGA, the Alexandria database).

abc: 3.5147 4.0738 4.1258
angles: 90.00 90.00 90.00
With the nearest neighbours (Å) after each atom.
Atoms (fractional coordinates):
Mg 0.0000 0.0000 0.0000  4 Pd 2.69, 4 Pt 2.71, 4 Cu 2.90
Cu 0.0000 0.5000 0.5000  4 Pt 2.69, 4 Pd 2.71, 4 Mg 2.90
Pd 0.5000 0.5000 0.0000  4 Mg 2.69, 4 Cu 2.71, 4 Pt 2.90
Pt 0.5000 0.0000 0.5000  4 Cu 2.69, 4 Mg 2.71, 4 Pd 2.90

Output
Energy relative to the lowest polymorph listed for this composition (meV/atom): 0
Energy (eV/f.u.): -18.992
Calculated volume (Å³ per atom): 14.8
SG: Pmmm, No. 47
Total magnetic moment (μB/cell): 0.00
ΔH_f (0 K) (eV per atom): -0.517

***

# Mg2CuPd5Pt

A relaxed structure of Mg2CuPd5Pt (PBE-GGA, the Alexandria database).

abc: 7.6239 7.6239 7.6239
angles: 124.04 124.04 83.14
With the nearest neighbours (Å) after each atom.
Atoms (fractional coordinates):
Mg 0.1210 0.6210 0.7419  2 Pd 2.39, 1 Mg 2.45
Mg 0.3790 0.1210 0.5000  2 Pd 2.39, 1 Mg 2.45
Mg 0.6210 0.8790 0.5000  2 Pd 2.39, 1 Mg 2.45
Mg 0.8790 0.3790 0.2581  2 Pd 2.39, 1 Mg 2.45
Cu 0.2500 0.7500 0.5000  4 Pd 2.40
Cu 0.7500 0.2500 0.5000  4 Pd 2.40
Pd 0.0000 0.0000 0.0000  4 Mg 2.85, 2 Pt 2.85, 8 Pd 3.01
Pd 0.0634 0.1629 0.5000  1 Mg 2.39, 1 Cu 2.40
Pd 0.1629 0.6629 0.0995  1 Mg 2.39, 1 Cu 2.40
Pd 0.3371 0.4366 0.5000  1 Mg 2.39, 1 Cu 2.40
Pd 0.4366 0.9366 0.0995  1 Mg 2.39, 1 Cu 2.40
Pd 0.5000 0.5000 0.0000  4 Mg 2.85, 2 Pt 2.85, 8 Pd 3.01
Pd 0.5634 0.0634 0.9005  1 Mg 2.39, 1 Cu 2.40
Pd 0.6629 0.5634 0.5000  1 Mg 2.39, 1 Cu 2.40
Pd 0.8371 0.3371 0.9005  1 Mg 2.39, 1 Cu 2.40
Pd 0.9366 0.8371 0.5000  1 Mg 2.39, 1 Cu 2.40
Pt 0.2500 0.2500 0.0000  10 Pd 2.85-2.88
Pt 0.7500 0.7500 0.0000  10 Pd 2.85-2.88

Output
Energy (eV/f.u.): -39.784
Calculated volume (Å³ per atom): 16.2
SG: I4/mcm, No. 140
Total magnetic moment (μB/cell): 0.00
ΔH_f (0 K) (eV per atom): -0.055

***

# MgCu2Pd5Pt

A relaxed structure of MgCu2Pd5Pt (PBE-GGA, the Alexandria database).

abc: 8.7783 8.7783 8.7783
angles: 139.21 139.21 59.05
With the nearest neighbours (Å) after each atom.
Atoms (fractional coordinates):
Mg 0.2500 0.2500 0.0000  8 Pd 2.83, 4 Pt 3.06
Mg 0.7500 0.7500 0.0000  8 Pd 2.83, 4 Pt 3.06
Cu 0.1244 0.6244 0.7487  1 Cu 2.15
Cu 0.3756 0.1244 0.5000  1 Cu 2.15
Cu 0.6244 0.8756 0.5000  1 Cu 2.15
Cu 0.8756 0.3756 0.2513  1 Cu 2.15
Pd 0.0000 0.0000 0.0000  4 Cu 2.42
Pd 0.0855 0.1499 0.5000  1 Cu 2.44, 1 Pt 2.60
Pd 0.1499 0.6499 0.0645  1 Cu 2.44, 1 Pt 2.60
Pd 0.3501 0.4145 0.5000  1 Cu 2.44, 1 Pt 2.60
Pd 0.4145 0.9145 0.0645  1 Cu 2.44, 1 Pt 2.60
Pd 0.5000 0.5000 0.0000  4 Cu 2.42
Pd 0.5855 0.0855 0.9355  1 Cu 2.44, 1 Pt 2.60
Pd 0.6499 0.5855 0.5000  1 Cu 2.44, 1 Pt 2.60
Pd 0.8501 0.3501 0.9355  1 Cu 2.44, 1 Pt 2.60
Pd 0.9145 0.8501 0.5000  1 Cu 2.44, 1 Pt 2.60
Pt 0.2500 0.7500 0.5000  4 Pd 2.60
Pt 0.7500 0.2500 0.5000  4 Pd 2.60

Output
Energy (eV/f.u.): -41.953
Calculated volume (Å³ per atom): 15.9
SG: I4/mcm, No. 140
Total magnetic moment (μB/cell): 0.00
ΔH_f (0 K) (eV per atom): -0.018

***

# PuMgCuPd

A relaxed structure of PuMgCuPd (PBE-GGA, the Alexandria database).

abc: 4.8037 4.8037 4.8037
angles: 60.00 60.00 60.00
With the nearest neighbours (Å) after each atom.
Atoms (fractional coordinates):
Pu 0.0000 0.0000 0.0000  4 Cu 2.94, 4 Pd 2.94
Mg 0.5000 0.5000 0.5000  4 Cu 2.94, 4 Pd 2.94
Cu 0.7500 0.7500 0.7500  4 Mg 2.94, 4 Pu 2.94
Pd 0.2500 0.2500 0.2500  4 Mg 2.94, 4 Pu 2.94

Output
Energy (eV/f.u.): -25.971
Calculated volume (Å³ per atom): 19.6
SG: F-43m, No. 216
Total magnetic moment (μB/cell): 5.54
ΔH_f (0 K) (eV per atom): -0.189

***

# Mg2Cu2SbPd5

A relaxed structure of Mg2Cu2SbPd5 (PBE-GGA, the Alexandria database).

abc: 9.2489 9.2489 3.8545
angles: 90.00 90.00 90.00
With the nearest neighbours (Å) after each atom.
Atoms (fractional coordinates):
Mg 0.1686 0.3314 0.0000  3 Cu 2.68-2.76, 2 Pd 2.93
Mg 0.3314 0.8314 0.0000  3 Cu 2.68-2.76, 2 Pd 2.93
Mg 0.6686 0.1686 0.0000  3 Cu 2.68-2.76, 2 Pd 2.93
Mg 0.8314 0.6686 0.0000  3 Cu 2.68-2.76, 2 Pd 2.93
Cu 0.1265 0.6265 0.0000  6 Pd 2.54, 3 Mg 2.68-2.76
Cu 0.3735 0.1265 0.0000  6 Pd 2.54, 3 Mg 2.68-2.76
Cu 0.6265 0.8735 0.0000  6 Pd 2.54, 3 Mg 2.68-2.76
Cu 0.8735 0.3735 0.0000  6 Pd 2.54, 3 Mg 2.68-2.76
Sb 0.0000 0.0000 0.0000  8 Pd 2.78
Sb 0.5000 0.5000 0.0000  8 Pd 2.78
Pd 0.0000 0.5000 0.5000  4 Cu 2.54
Pd 0.0786 0.7985 0.5000  2 Cu 2.54, 2 Sb 2.78, 2 Pd 2.83
Pd 0.2015 0.0786 0.5000  2 Cu 2.54, 2 Sb 2.78, 2 Pd 2.83
Pd 0.2985 0.5786 0.5000  2 Cu 2.54, 2 Sb 2.78, 2 Pd 2.83
Pd 0.4214 0.2985 0.5000  2 Cu 2.54, 2 Sb 2.78, 2 Pd 2.83
Pd 0.5000 0.0000 0.5000  4 Cu 2.54
Pd 0.5786 0.7015 0.5000  2 Cu 2.54, 2 Sb 2.78, 2 Pd 2.83
Pd 0.7015 0.4214 0.5000  2 Cu 2.54, 2 Sb 2.78, 2 Pd 2.83
Pd 0.7985 0.9214 0.5000  2 Cu 2.54, 2 Sb 2.78, 2 Pd 2.83
Pd 0.9214 0.2015 0.5000  2 Cu 2.54, 2 Sb 2.78, 2 Pd 2.83

Output
Energy (eV/f.u.): -45.489
Calculated volume (Å³ per atom): 16.5
SG: P4/mbm, No. 127
Total magnetic moment (μB/cell): 0.00

***

# Mg2Sc5Cu2Pd

A relaxed structure of Mg2Sc5Cu2Pd (PBE-GGA, the Alexandria database).

abc: 11.1188 11.1188 3.3433
angles: 90.00 90.00 90.00
With the nearest neighbours (Å) after each atom.
Atoms (fractional coordinates):
Mg 0.1768 0.3232 0.0000  1 Cu 3.02, 6 Sc 3.24-3.36, 2 Mg 3.34
Mg 0.3232 0.8232 0.0000  1 Cu 3.02, 6 Sc 3.24-3.36, 2 Mg 3.34
Mg 0.6768 0.1768 0.0000  1 Cu 3.02, 6 Sc 3.24-3.36, 2 Mg 3.34
Mg 0.8232 0.6768 0.0000  1 Cu 3.02, 6 Sc 3.24-3.36, 2 Mg 3.34
Sc 0.0000 0.5000 0.5000  4 Cu 2.65
Sc 0.0618 0.8035 0.5000  2 Cu 2.66, 2 Pd 2.84
Sc 0.1965 0.0618 0.5000  2 Cu 2.66, 2 Pd 2.84
Sc 0.3035 0.5618 0.5000  2 Cu 2.66, 2 Pd 2.84
Sc 0.4382 0.3035 0.5000  2 Cu 2.66, 2 Pd 2.84
Sc 0.5000 0.0000 0.5000  4 Cu 2.65
Sc 0.5618 0.6965 0.5000  2 Cu 2.66, 2 Pd 2.84
Sc 0.6965 0.4382 0.5000  2 Cu 2.66, 2 Pd 2.84
Sc 0.8035 0.9382 0.5000  2 Cu 2.66, 2 Pd 2.84
Sc 0.9382 0.1965 0.5000  2 Cu 2.66, 2 Pd 2.84
Cu 0.1309 0.6309 0.0000  6 Sc 2.65-2.66
Cu 0.3691 0.1309 0.0000  6 Sc 2.65-2.66
Cu 0.6309 0.8691 0.0000  6 Sc 2.65-2.66
Cu 0.8691 0.3691 0.0000  6 Sc 2.65-2.66
Pd 0.0000 0.0000 0.0000  8 Sc 2.84
Pd 0.5000 0.5000 0.0000  8 Sc 2.84

Output
Energy (eV/f.u.): -51.000
Calculated volume (Å³ per atom): 20.7
SG: P4/mbm, No. 127
Total magnetic moment (μB/cell): 0.00
ΔH_f (0 K) (eV per atom): -0.277